TaNiGe2O8 | PBE+U | relaxed

Unit cell a=5.607 b=5.607 c=5.607 alpha=108.97 beta=108.97 gamma=110.49
Fractional positions:
Ta (0.000, 0.000, 0.000)
Ni (0.750, 0.250, 0.500)
Ge (0.250, 0.750, 0.500)
Ge (0.500, 0.500, 0.000)
O (0.070, 0.368, 0.298)
O (0.070, 0.772, 0.702)
O (0.109, 0.296, 0.813)
O (0.228, 0.930, 0.298)
O (0.484, 0.296, 0.187)
O (0.632, 0.930, 0.702)
O (0.704, 0.516, 0.813)
O (0.704, 0.891, 0.187)

Values from the calculation:
V: 11.3 A^3/atom
total magnetic moment: 1.00 Bohr magnetons per cell
uncorrected energy: -6.895 eV per atom
space group: I-4m2, No. 119